PrAgTeO | PBE-GGA | relaxed

Geometry as extended XYZ:
```
8
Lattice="4.703 0.000 0.000 0.000 5.594 0.000 0.000 0.000 7.096" Properties=species:S:1:pos:R:3 pbc="T T T"
Pr 0.000 1.292 0.000
Pr 0.000 4.301 3.548
Ag 2.352 0.856 4.670
Ag 2.352 4.738 1.123
Te 2.352 2.081 2.186
Te 2.352 3.513 5.733
O 0.000 0.386 5.046
O 0.000 5.208 1.499
```

M_tot   0.0 μB per cell
Energy   -5.342 eV/atom